No. 1
A plane-wave DFT calculation with PBE was carried out for an optimized crystal structure of CuSb4P.

abc: 6.082 6.082 6.082
angles: 60.00 60.00 60.00
Element x y z (fractional)
Sb  0.375  0.375  0.875
Cu  0.750  0.750  0.750
Sb  0.375  0.375  0.375
P  0.000  0.000  0.000
Sb  0.875  0.375  0.375
Sb  0.375  0.875  0.375

Results
The total energy comes out at -20.86 eV for the cell shown. The space group is F-43m, No. 216. Its raw formation energy is 0.857 eV per atom.

=====

No. 2
A plane-wave DFT calculation with PBE was carried out for an optimized crystal structure of Cu2SbP.

abc: 3.884 3.884 5.835
angles: 75.12 75.12 52.60
Element x y z (fractional)
Cu  0.013  0.013  0.931
Cu  0.487  0.487  0.569
P  0.750  0.750  0.750
Sb  0.250  0.250  0.250

Results
The total energy comes out at -17.23 eV for the cell shown. The space group is C2/m, No. 12. Its distance to the lowest polymorph of the same formula is 18 meV per atom. Its raw formation energy is 0.125 eV per atom.

=====

No. 3
A plane-wave DFT calculation with PBE was carried out for an optimized crystal structure of Cu2SbP.

abc: 4.144 5.121 4.866
angles: 68.65 68.77 113.84
Element x y z (fractional)
Cu  0.000  0.000  0.000
Cu  0.000  0.500  0.500
P  0.500  0.500  0.000
Sb  0.500  0.000  0.500

Results
The total energy comes out at -16.63 eV for the cell shown. The space group is C2/m, No. 12. Its distance to the lowest polymorph of the same formula is 167 meV per atom. Its raw formation energy is 0.274 eV per atom.

=====

No. 4
A plane-wave DFT calculation with PBE was carried out for an optimized crystal structure of Cu2SbP.

abc: 4.172 4.192 3.772
angles: 90.00 90.00 90.00
Element x y z (fractional)
P  0.500  0.000  0.500
Sb  0.000  0.500  0.500
Cu  0.000  0.000  0.000
Cu  0.500  0.500  0.000

Results
The total energy comes out at -16.28 eV for the cell shown. The space group is Pmmm, No. 47. Its distance to the lowest polymorph of the same formula is 253 meV per atom. Its raw formation energy is 0.360 eV per atom.

=====

No. 5
A plane-wave DFT calculation with PBE was carried out for an optimized crystal structure of Cu2SbP.

abc: 3.879 3.872 4.759
angles: 85.16 90.00 90.00
Element x y z (fractional)
P  0.500  0.250  0.250
Sb  0.500  0.750  0.750
Cu  0.000  0.148  0.005
Cu  0.000  0.352  0.495

Results
The total energy comes out at -17.03 eV for the cell shown. The space group is P2/m, No. 10. Its distance to the lowest polymorph of the same formula is 68 meV per atom. Its raw formation energy is 0.175 eV per atom.

=====

No. 6
A plane-wave DFT calculation with PBE was carried out for an optimized crystal structure of CuSbP2.

abc: 3.251 3.251 8.849
angles: 90.00 90.00 122.03
Element x y z (fractional)
Cu  0.500  0.500  0.786
Sb  0.000  0.000  0.536
P  0.500  0.500  0.175
P  0.000  0.000  0.004

Results
The total energy comes out at -17.19 eV for the cell shown. The space group is Cmm2, No. 35. Its raw formation energy is 0.461 eV per atom.

=====

No. 7
A plane-wave DFT calculation with PBE was carried out for an optimized crystal structure of CuSbP2.

abc: 4.651 4.651 3.226
angles: 90.00 90.00 90.00
Element x y z (fractional)
P  0.500  0.500  0.000
P  0.000  0.000  0.000
Cu  0.000  0.500  0.500
Sb  0.500  0.000  0.500

Results
The total energy comes out at -16.63 eV for the cell shown. The space group is P4/mmm, No. 123. Its raw formation energy is 0.601 eV per atom.

=====

No. 8
A plane-wave DFT calculation with PBE was carried out for an optimized crystal structure of CuSb2P2.

abc: 5.353 5.353 7.721
angles: 90.00 90.00 90.00
Element x y z (fractional)
Sb  0.000  0.500  0.941
Sb  0.500  0.500  0.500
Cu  0.500  0.000  0.721
Sb  0.000  0.000  0.500
Cu  0.000  0.500  0.279
P  0.000  0.000  0.000
P  0.000  0.500  0.573
P  0.500  0.500  0.000
P  0.500  0.000  0.427
Sb  0.500  0.000  0.059

Results
The total energy comes out at -42.60 eV for the cell shown. The space group is P4/nmm, No. 129. Its distance to the lowest polymorph of the same formula is 95 meV per atom. Its raw formation energy is 0.372 eV per atom.